(1)
Density functional theory data (PBE-GGA) for a geometry-optimized CrIrS3 structure.

The energy above the most stable polymorph in this dataset comes out at 0 meV/atom. The space group is Pm-3m, No. 221.

abc: 4.357 4.357 4.357
angles: 90.00 90.00 90.00
Positions (direct):
Cr: 0.000 0.000 0.000
Ir: 0.500 0.500 0.500
S: 0.000 0.000 0.500
S: 0.000 0.500 0.000
S: 0.500 0.000 0.000

(2)
Density functional theory data (PBE-GGA) for a geometry-optimized Cr3IrS structure.

The energy above the most stable polymorph in this dataset comes out at 1165 meV/atom. The space group is Pm-3m, No. 221.

abc: 4.545 4.545 4.545
angles: 90.00 90.00 90.00
Positions (direct):
Cr: 0.000 0.000 0.500
Cr: 0.000 0.500 0.000
Cr: 0.500 0.000 0.000
Ir: 0.000 0.000 0.000
S: 0.500 0.500 0.500

(3)
Density functional theory data (PBE-GGA) for a geometry-optimized CrIr2S structure.

The space group is I-42d, No. 122.

abc: 6.427 6.427 6.427
angles: 130.59 130.59 72.47
Positions (direct):
Cr: 0.000 0.000 0.000
Cr: 0.750 0.250 0.500
Ir: 0.135 0.625 0.010
Ir: 0.375 0.385 0.510
Ir: 0.615 0.125 0.990
Ir: 0.875 0.865 0.490
S: 0.250 0.750 0.500
S: 0.500 0.500 0.000

(4)
Density functional theory data (PBE-GGA) for a geometry-optimized CrIrS structure.

The space group is P-6m2, No. 187.

abc: 2.792 2.792 14.807
angles: 90.00 90.00 120.00
Positions (direct):
Cr: 0.000 0.000 0.000
Cr: 0.333 0.667 0.500
Ir: 0.000 0.000 0.367
Ir: 0.000 0.000 0.633
S: 0.333 0.667 0.105
S: 0.333 0.667 0.895

(5)
Density functional theory data (PBE-GGA) for a geometry-optimized Sc2CrIrS structure.

The space group is P4/mmm, No. 123.

abc: 4.837 4.837 4.062
angles: 90.00 90.00 90.00
Positions (direct):
Sc: 0.000 0.500 0.000
Sc: 0.500 0.000 0.000
Cr: 0.000 0.000 0.000
Ir: 0.500 0.500 0.500
S: 0.000 0.000 0.500

(6)
Density functional theory data (PBE-GGA) for a geometry-optimized TiCrIrS structure.

The energy above the most stable polymorph in this dataset comes out at 166 meV/atom. The space group is Cm, No. 8.

abc: 4.346 4.346 6.092
angles: 123.94 123.94 40.12
Positions (direct):
Ti: 0.000 0.000 0.000
Cr: 0.132 0.132 0.658
Ir: 0.376 0.376 0.211
S: 0.392 0.392 0.613

Number 1: formation energy (no corrections) 0.843 eV per atom, calculated volume 82.7 Å³ per cell. Number 2: formation energy (no corrections) 1.638 eV per atom, calculated volume 93.9 Å³ per cell. Number 3: formation energy (no corrections) 0.450 eV per atom, calculated volume 149.6 Å³ per cell. Number 4: formation energy (no corrections) -0.098 eV per atom, calculated volume 99.9 Å³ per cell. Number 5: formation energy (no corrections) 0.251 eV per atom, calculated volume 95.0 Å³ per cell. Number 6: formation energy (no corrections) -0.408 eV per atom, calculated volume 59.6 Å³ per cell.